[1]
MgCd3S: relaxed, PBE.

CIF file:
```
data_MgCd3S
_space_group_name_H-M_alt 'P m -3 m'
_space_group_IT_number 221
_space_group_name_Hall '-P 4 2 3'
_cell_length_a 5.330
_cell_length_b 5.330
_cell_length_c 5.330
_cell_angle_alpha 90.00
_cell_angle_beta 90.00
_cell_angle_gamma 90.00
loop_
_atom_site_label
_atom_site_fract_x
_atom_site_fract_y
_atom_site_fract_z
Mg1 0.000 0.000 0.000
Cd1 0.000 0.000 0.500
S1 0.500 0.500 0.500
```

Values from the calculation:
- M_tot (μB/atom) = 0.00
- Fermi-level density of states (states/eV/f.u.) = 4.95
- ΔE to the lowest computed polymorph (meV/atom) = 245
- final energy (hartree per atom) = -0.04222

[2]
PrScO2: relaxed, PBE.

CIF file:
```
data_PrScO2
_space_group_name_H-M_alt 'R 3 m'
_space_group_IT_number 160
_space_group_name_Hall 'R 3 -2"'
_cell_length_a 3.3072
_cell_length_b 3.3072
_cell_length_c 17.9429
_cell_angle_alpha 90.00
_cell_angle_beta 90.00
_cell_angle_gamma 120.00
loop_
_atom_site_label
_atom_site_fract_x
_atom_site_fract_y
_atom_site_fract_z
Pr1 0.0000 0.0000 0.0000
Sc1 0.0000 0.0000 0.8244
O1 0.0000 0.0000 0.2255
O2 0.0000 0.0000 0.4324
```

Values from the calculation:
- M_tot (μB/atom) = 0.00
- Fermi-level density of states (states/eV/f.u.) = 0.63
- final energy (hartree per atom) = -0.29270

[3]
BaNaHg6: relaxed, PBE.

CIF file:
```
data_BaNaHg6
_space_group_name_H-M_alt 'A m m 2'
_space_group_IT_number 38
_cell_length_a 5.457
_cell_length_b 7.036
_cell_length_c 12.182
_cell_angle_alpha 90.00
_cell_angle_beta 90.00
_cell_angle_gamma 90.00
loop_
_space_group_symop_operation_xyz
'x,y,z'
'-x,-y,z'
'-x,y,z'
'x,-y,z'
'x,y+1/2,z+1/2'
'-x,-y+1/2,z+1/2'
'-x,y+1/2,z+1/2'
'x,-y+1/2,z+1/2'
loop_
_atom_site_label
_atom_site_fract_x
_atom_site_fract_y
_atom_site_fract_z
Ba1 0.000 0.000 0.000
Na1 0.500 0.000 0.669
Hg1 0.000 0.000 0.506
Hg2 0.000 0.247 0.750
Hg3 0.500 0.000 0.183
Hg4 0.500 0.224 0.410
```

Values from the calculation:
- M_tot (μB/atom) = 0.00
- Fermi-level density of states (states/eV/f.u.) = 3.21
- ΔE to the lowest computed polymorph (meV/atom) = 0
- final energy (hartree per atom) = -0.03588

[4]
ZrMnRu3: relaxed, PBE.

CIF file:
```
data_ZrMnRu3
_space_group_name_H-M_alt 'P m -3 m'
_space_group_IT_number 221
_space_group_name_Hall '-P 4 2 3'
_cell_length_a 4.713
_cell_length_b 4.713
_cell_length_c 4.713
_cell_angle_alpha 90.00
_cell_angle_beta 90.00
_cell_angle_gamma 90.00
loop_
_atom_site_label
_atom_site_fract_x
_atom_site_fract_y
_atom_site_fract_z
Zr1 0.000 0.000 0.000
Mn1 0.500 0.500 0.500
Ru1 0.000 0.000 0.500
```

Values from the calculation:
- M_tot (μB/atom) = 0.46
- Fermi-level density of states (states/eV/f.u.) = 9.13
- ΔE to the lowest computed polymorph (meV/atom) = 1494
- final energy (hartree per atom) = -0.25652

[5]
Nd8DyTm6: relaxed, PBE.

CIF file:
```
data_Nd8DyTm6
_space_group_name_H-M_alt 'R -3'
_space_group_IT_number 148
_space_group_name_Hall '-R 3'
_cell_length_a 9.0720
_cell_length_b 9.0720
_cell_length_c 20.9569
_cell_angle_alpha 90.00
_cell_angle_beta 90.00
_cell_angle_gamma 120.00
loop_
_atom_site_label
_atom_site_fract_x
_atom_site_fract_y
_atom_site_fract_z
Nd1 0.0000 0.0000 0.0780
Nd2 0.0809 0.5599 0.3062
Dy1 0.0000 0.0000 0.5000
Tm1 0.0440 0.2437 0.2052
```

Values from the calculation:
- M_tot (μB/atom) = 0.00
- Fermi-level density of states (states/eV/f.u.) = 22.97
- ΔE to the lowest computed polymorph (meV/atom) = 0
- final energy (hartree per atom) = -0.16566

[6]
TbPm3Nd2Bi6: relaxed, PBE.

CIF file:
```
data_TbPm3Nd2Bi6
_space_group_name_H-M_alt 'C 1 2/m 1'
_space_group_IT_number 12
_cell_length_a 19.934
_cell_length_b 4.576
_cell_length_c 9.148
_cell_angle_alpha 90.00
_cell_angle_beta 103.24
_cell_angle_gamma 90.00
loop_
_space_group_symop_operation_xyz
'x,y,z'
'-x,-y,-z'
'-x,y,-z'
'x,-y,z'
'x+1/2,y+1/2,z'
'-x+1/2,-y+1/2,-z'
'-x+1/2,y+1/2,-z'
'x+1/2,-y+1/2,z'
loop_
_atom_site_label
_atom_site_fract_x
_atom_site_fract_y
_atom_site_fract_z
Tb1 0.000 0.000 0.000
Pm1 0.000 0.000 0.500
Pm2 0.168 0.500 0.834
Nd1 0.166 0.500 0.333
Bi1 0.001 0.500 0.755
Bi2 0.165 0.000 0.081
Bi3 0.166 0.000 0.584
```

Values from the calculation:
- M_tot (μB/atom) = 0.00
- Fermi-level density of states (states/eV/f.u.) = 2.03
- final energy (hartree per atom) = -0.19259

[7]
RbMg3Cd9: relaxed, PBE.

CIF file:
```
data_RbMg3Cd9
_space_group_name_H-M_alt 'C 1 2/m 1'
_space_group_IT_number 12
_cell_length_a 6.080
_cell_length_b 14.647
_cell_length_c 7.733
_cell_angle_alpha 90.00
_cell_angle_beta 111.66
_cell_angle_gamma 90.00
loop_
_space_group_symop_operation_xyz
'x,y,z'
'-x,-y,-z'
'-x,y,-z'
'x,-y,z'
'x+1/2,y+1/2,z'
'-x+1/2,-y+1/2,-z'
'-x+1/2,y+1/2,-z'
'x+1/2,-y+1/2,z'
loop_
_atom_site_label
_atom_site_fract_x
_atom_site_fract_y
_atom_site_fract_z
Rb1 0.000 0.000 0.000
Mg1 0.000 0.000 0.500
Mg2 0.250 0.250 0.000
Cd1 0.000 0.500 0.500
Cd2 0.111 0.388 0.221
Cd3 0.160 0.177 0.350
```

Values from the calculation:
- M_tot (μB/atom) = 0.00
- Fermi-level density of states (states/eV/f.u.) = 4.53
- final energy (hartree per atom) = -0.04154

[8]
NdYHoZr: relaxed, PBE.

CIF file:
```
data_NdYHoZr
_space_group_name_H-M_alt 'F -4 3 m'
_space_group_IT_number 216
_space_group_name_Hall 'F -4 2 3'
_cell_length_a 7.827
_cell_length_b 7.827
_cell_length_c 7.827
_cell_angle_alpha 90.00
_cell_angle_beta 90.00
_cell_angle_gamma 90.00
loop_
_atom_site_label
_atom_site_fract_x
_atom_site_fract_y
_atom_site_fract_z
Nd1 0.000 0.000 0.000
Y1 0.250 0.250 0.750
Ho1 0.250 0.250 0.250
Zr1 0.000 0.000 0.500
```

Values from the calculation:
- M_tot (μB/atom) = 0.39
- Fermi-level density of states (states/eV/f.u.) = 7.49
- final energy (hartree per atom) = -0.21549